[1]
{"formula": "PmNi6B2", "functional": "PBE", "state": "optimized geometry", "lattice_angstrom": [[0.0000, 4.9306, 4.9306], [4.9306, 0.0000, 4.9306], [4.9306, 4.9306, 0.0000]], "species": ["Pm", "Pm", "Ni", "Ni", "Ni", "Ni", "Ni", "Ni", "Ni", "Ni", "Ni", "Ni", "Ni", "Ni", "B", "B", "B", "B"], "fractional_positions": [[0.1250, 0.1250, 0.1250], [0.8750, 0.8750, 0.8750], [0.1694, 0.1694, 0.5806], [0.1694, 0.5806, 0.1694], [0.1694, 0.5806, 0.5806], [0.4194, 0.4194, 0.8306], [0.4194, 0.8306, 0.4194], [0.4194, 0.8306, 0.8306], [0.5806, 0.1694, 0.1694], [0.5806, 0.1694, 0.5806], [0.5806, 0.5806, 0.1694], [0.8306, 0.4194, 0.4194], [0.8306, 0.4194, 0.8306], [0.8306, 0.8306, 0.4194], [0.0000, 0.5000, 0.5000], [0.5000, 0.0000, 0.5000], [0.5000, 0.5000, 0.0000], [0.5000, 0.5000, 0.5000]], "e_tot_ev_per_fu": -54.31, "vol_a3_per_atom": 13.32, "formation_enthalpy_0k_kcal_per_mol_atoms": -3.90, "space_group": "Fd-3m, No. 227", "n_ef_per_ev_atom": 0.588}

[2]
{"formula": "Pm3NiB2Pt9", "functional": "PBE", "state": "optimized geometry", "lattice_angstrom": [[5.7698, 0.0000, 0.0000], [-2.8849, 4.9968, 0.0000], [0.0000, 0.0000, 9.2291]], "species": ["Pm", "Pm", "Pm", "Ni", "B", "B", "Pt", "Pt", "Pt", "Pt", "Pt", "Pt", "Pt", "Pt", "Pt"], "fractional_positions": [[0.0000, 0.0000, 0.0000], [0.3333, 0.6667, 0.5976], [0.6667, 0.3333, 0.4024], [0.0000, 0.0000, 0.5000], [0.3333, 0.6667, 0.1515], [0.6667, 0.3333, 0.8485], [0.0000, 0.5000, 0.0000], [0.1628, 0.3257, 0.2870], [0.1628, 0.8372, 0.2870], [0.3257, 0.1628, 0.7130], [0.5000, 0.0000, 0.0000], [0.5000, 0.5000, 0.0000], [0.6743, 0.8372, 0.2870], [0.8372, 0.1628, 0.7130], [0.8372, 0.6743, 0.7130]], "e_tot_ev_per_fu": -99.17, "vol_a3_per_atom": 17.74, "formation_enthalpy_0k_kcal_per_mol_atoms": -17.54, "space_group": "P-3m1, No. 164", "n_ef_per_ev_atom": 0.381}

[3]
{"formula": "PmNiBRh2", "functional": "PBE", "state": "optimized geometry", "lattice_angstrom": [[4.2531, 0.0000, 0.0000], [0.0000, 4.2531, 0.0000], [0.0000, 0.0000, 4.0632]], "species": ["Pm", "Ni", "B", "Rh", "Rh"], "fractional_positions": [[0.0000, 0.0000, 0.0000], [0.5000, 0.5000, 0.0000], [0.5000, 0.5000, 0.5000], [0.0000, 0.5000, 0.5000], [0.5000, 0.0000, 0.5000]], "e_tot_ev_per_fu": -35.15, "vol_a3_per_atom": 14.70, "formation_enthalpy_0k_kcal_per_mol_atoms": -14.93, "space_group": "P4/mmm, No. 123", "n_ef_per_ev_atom": 0.088}

[4]
{"formula": "PmSiNi6B", "functional": "PBE", "state": "optimized geometry", "lattice_angstrom": [[-3.1048, 3.9098, 5.1060], [3.1048, -3.9098, 5.1060], [3.1048, 3.9098, -5.1060]], "species": ["Pm", "Pm", "Si", "Si", "Ni", "Ni", "Ni", "Ni", "Ni", "Ni", "Ni", "Ni", "Ni", "Ni", "Ni", "Ni", "B", "B"], "fractional_positions": [[0.4353, 0.1853, 0.2500], [0.5647, 0.8147, 0.7500], [0.0000, 0.0000, 0.5000], [0.0000, 0.5000, 0.0000], [0.1048, 0.3943, 0.2531], [0.1048, 0.8517, 0.7105], [0.1576, 0.9076, 0.2500], [0.2827, 0.5327, 0.7500], [0.3589, 0.1483, 0.7531], [0.3589, 0.6057, 0.2105], [0.6411, 0.3943, 0.7895], [0.6411, 0.8517, 0.2469], [0.7173, 0.4673, 0.2500], [0.8424, 0.0924, 0.7500], [0.8952, 0.1483, 0.2895], [0.8952, 0.6057, 0.7469], [0.0000, 0.5000, 0.5000], [0.5000, 0.5000, 0.0000]], "e_tot_ev_per_fu": -52.68, "vol_a3_per_atom": 13.77, "e_form_raw_mev_per_atom": -127, "space_group": "Imma, No. 74", "n_ef_per_ev_atom": 0.433}

[5]
{"formula": "PrNi12B6", "functional": "PBE", "state": "optimized geometry", "lattice_angstrom": [[4.7983, -3.7011, 0.0000], [4.7983, 3.7011, 0.0000], [0.0000, 0.0000, 11.0633]], "species": ["Pr", "Pr", "Ni", "Ni", "Ni", "Ni", "Ni", "Ni", "Ni", "Ni", "Ni", "Ni", "Ni", "Ni", "Ni", "Ni", "Ni", "Ni", "Ni", "Ni", "Ni", "Ni", "Ni", "Ni", "Ni", "Ni", "B", "B", "B", "B", "B", "B", "B", "B", "B", "B", "B", "B"], "fractional_positions": [[0.1672, 0.8328, 0.5000], [0.8328, 0.1672, 0.0000], [0.0050, 0.6304, 0.0622], [0.1195, 0.1458, 0.2438], [0.1458, 0.1195, 0.7438], [0.1947, 0.5407, 0.2645], [0.2106, 0.5251, 0.7245], [0.2217, 0.7783, 0.8994], [0.2745, 0.3433, 0.9320], [0.3433, 0.2745, 0.4320], [0.3696, 0.9950, 0.0622], [0.4304, 0.5696, 0.0833], [0.4593, 0.8053, 0.2645], [0.4749, 0.7894, 0.7245], [0.5251, 0.2106, 0.2245], [0.5407, 0.1947, 0.7645], [0.5696, 0.4304, 0.5833], [0.6304, 0.0050, 0.5622], [0.6567, 0.7255, 0.9320], [0.7255, 0.6567, 0.4320], [0.7783, 0.2217, 0.3994], [0.7894, 0.4749, 0.2245], [0.8053, 0.4593, 0.7645], [0.8542, 0.8805, 0.2438], [0.8805, 0.8542, 0.7438], [0.9950, 0.3696, 0.5622], [0.0134, 0.3988, 0.3776], [0.1642, 0.8358, 0.1645], [0.2469, 0.3249, 0.1138], [0.3249, 0.2469, 0.6138], [0.3988, 0.0134, 0.8776], [0.4863, 0.5137, 0.8394], [0.5137, 0.4863, 0.3394], [0.6012, 0.9866, 0.3776], [0.6751, 0.7531, 0.1138], [0.7531, 0.6751, 0.6138], [0.8358, 0.1642, 0.6645], [0.9866, 0.6012, 0.8776]], "e_tot_ev_per_fu": -121.71, "vol_a3_per_atom": 10.34, "formation_enthalpy_0k_kcal_per_mol_atoms": -9.10, "relative_energy_kj_per_mol_atoms": 0.0, "space_group": "Cmc2_1, No. 36", "n_ef_per_ev_atom": 0.447}

[6]
{"formula": "PrNi2B", "functional": "PBE", "state": "optimized geometry", "lattice_angstrom": [[3.5569, 0.0000, 0.0000], [0.0000, 3.5489, 0.0000], [-0.0065, 0.0000, 4.9577]], "species": ["Pr", "Ni", "Ni", "B"], "fractional_positions": [[0.0000, 0.0000, 0.0000], [0.4991, 0.0000, 0.4972], [0.9990, 0.5000, 0.4972], [0.4994, 0.5000, 0.6773]], "e_tot_ev_per_fu": -24.12, "vol_a3_per_atom": 15.65, "formation_enthalpy_0k_kcal_per_mol_atoms": -6.36, "space_group": "Pm, No. 6", "n_ef_per_ev_atom": 0.351}

[7]
{"formula": "PrNi6B", "functional": "PBE", "state": "optimized geometry", "lattice_angstrom": [[3.5943, 0.0000, 0.0000], [0.0000, 3.5943, 0.0000], [0.0000, 0.0000, 8.0676]], "species": ["Pr", "Ni", "Ni", "Ni", "Ni", "Ni", "Ni", "B"], "fractional_positions": [[0.0000, 0.0000, 0.0000], [0.0000, 0.5000, 0.3548], [0.0000, 0.5000, 0.6452], [0.5000, 0.0000, 0.3548], [0.5000, 0.0000, 0.6452], [0.5000, 0.5000, 0.1551], [0.5000, 0.5000, 0.8449], [0.0000, 0.0000, 0.5000]], "e_tot_ev_per_fu": -46.84, "vol_a3_per_atom": 13.03, "formation_enthalpy_0k_kcal_per_mol_atoms": -1.99, "space_group": "P4/mmm, No. 123", "n_ef_per_ev_atom": 1.329}

[8]
{"formula": "Pr2Ni5B", "functional": "PBE", "state": "optimized geometry", "lattice_angstrom": [[-2.6829, 2.6829, 4.4820], [2.6829, -2.6829, 4.4820], [2.6829, 2.6829, -4.4820]], "species": ["Pr", "Pr", "Ni", "Ni", "Ni", "Ni", "Ni", "B"], "fractional_positions": [[0.0000, 0.5000, 0.5000], [0.5000, 0.0000, 0.5000], [0.0004, 0.0004, 0.5068], [0.0004, 0.4937, 0.0000], [0.4337, 0.4337, 0.0000], [0.4937, 0.0004, 0.0000], [0.4937, 0.4937, 0.4932], [0.6730, 0.6730, 0.0000]], "e_tot_ev_per_fu": -46.88, "vol_a3_per_atom": 16.13, "formation_enthalpy_0k_kcal_per_mol_atoms": -5.00, "space_group": "I4mm, No. 107", "n_ef_per_ev_atom": 0.307}

[9]
{"formula": "PrNi9B2", "functional": "PBE", "state": "optimized geometry", "lattice_angstrom": [[6.9385, 0.0000, 0.0000], [-3.4693, 6.0089, 0.0000], [0.0000, 0.0000, 3.3799]], "species": ["Pr", "Ni", "Ni", "Ni", "Ni", "Ni", "Ni", "Ni", "Ni", "Ni", "B", "B"], "fractional_positions": [[0.0000, 0.0000, 0.0000], [0.0000, 0.5000, 0.0000], [0.2145, 0.4291, 0.5000], [0.2145, 0.7855, 0.5000], [0.4291, 0.2145, 0.5000], [0.5000, 0.0000, 0.0000], [0.5000, 0.5000, 0.0000], [0.5709, 0.7855, 0.5000], [0.7855, 0.2145, 0.5000], [0.7855, 0.5709, 0.5000], [0.3333, 0.6667, 0.0000], [0.6667, 0.3333, 0.0000]], "e_tot_ev_per_fu": -72.80, "vol_a3_per_atom": 11.74, "formation_enthalpy_0k_kcal_per_mol_atoms": -5.06, "space_group": "P6/mmm, No. 191", "n_ef_per_ev_atom": 1.241}

[10]
{"formula": "PrNi5B2", "functional": "PBE", "state": "optimized geometry", "lattice_angstrom": [[-1.7433, 3.1117, 4.3446], [1.7433, -3.1117, 4.3446], [1.7433, 3.1117, -4.3446]], "species": ["Pr", "Ni", "Ni", "Ni", "Ni", "Ni", "B", "B"], "fractional_positions": [[0.0000, 0.0000, 0.0000], [0.1480, 0.3373, 0.8107], [0.4734, 0.6627, 0.8107], [0.5000, 0.0000, 0.5000], [0.5266, 0.3373, 0.1893], [0.8520, 0.6627, 0.1893], [0.2693, 0.7693, 0.5000], [0.7307, 0.2307, 0.5000]], "e_tot_ev_per_fu": -49.91, "vol_a3_per_atom": 11.78, "formation_enthalpy_0k_kcal_per_mol_atoms": -8.26, "space_group": "Immm, No. 71", "n_ef_per_ev_atom": 0.516}

[11]
{"formula": "PrNi8B2", "functional": "PBE", "state": "optimized geometry", "lattice_angstrom": [[4.7484, 0.0000, 0.0000], [0.0000, 4.7484, 0.0000], [0.0000, 0.0000, 7.1463]], "species": ["Pr", "Ni", "Ni", "Ni", "Ni", "Ni", "Ni", "Ni", "Ni", "B", "B"], "fractional_positions": [[0.0000, 0.0000, 0.0000], [0.2526, 0.2526, 0.3291], [0.2526, 0.2526, 0.6709], [0.2526, 0.7474, 0.3291], [0.2526, 0.7474, 0.6709], [0.7474, 0.2526, 0.3291], [0.7474, 0.2526, 0.6709], [0.7474, 0.7474, 0.3291], [0.7474, 0.7474, 0.6709], [0.0000, 0.5000, 0.5000], [0.5000, 0.0000, 0.5000]], "e_tot_ev_per_fu": -62.90, "vol_a3_per_atom": 14.65, "formation_enthalpy_0k_kcal_per_mol_atoms": 3.12, "space_group": "P4/mmm, No. 123", "n_ef_per_ev_atom": 1.672}

[12]
{"formula": "PrNi2B", "functional": "PBE", "state": "optimized geometry", "lattice_angstrom": [[1.8499, 1.0680, 5.0345], [-1.8499, 1.0680, 5.0345], [0.0000, -2.1361, 5.0345]], "species": ["Pr", "Ni", "Ni", "B"], "fractional_positions": [[0.0000, 0.0000, 0.0000], [0.1983, 0.1983, 0.1983], [0.8017, 0.8017, 0.8017], [0.5000, 0.5000, 0.5000]], "e_tot_ev_per_fu": -23.94, "vol_a3_per_atom": 14.92, "formation_enthalpy_0k_kcal_per_mol_atoms": -5.32, "space_group": "R-3m, No. 166", "n_ef_per_ev_atom": 0.930}